Record 1
Below is an optimized crystal structure of NaLa3Sm4Se8, with properties calculated at the PBE level.

Computed properties:
Its space group is R-3m. The calculation puts the magnetization at 0.00 μB/cell. For the uncorrected formation energy, the calculation gives -1.85 eV per atom. The mass density comes out at 6.5 Mg/m³.

The structure in POSCAR format:
```
NaLa3Sm4Se8
1.0
-3.996 -3.077 -6.786
5.664 -6.306 -0.476
-4.260 1.299 7.186
La Se Sm Na
3 8 4 1
Cartesian
0.834 -4.691 -3.631 La
0.702 -2.503 3.355 La
-1.296 -4.042 -0.038 La
1.156 -4.890 1.537 Se
-1.727 -1.635 1.758 Se
3.258 -5.531 -2.009 Se
1.233 -7.089 -5.447 Se
-3.826 -0.995 5.372 Se
-3.748 -3.194 -1.612 Se
-5.850 -2.553 1.934 Se
-0.865 -6.449 -1.834 Se
0.000 0.000 0.000 Sm
-1.998 -1.538 -3.393 Sm
-2.130 0.650 3.593 Sm
-4.128 -0.889 0.200 Sm
2.832 -3.153 -0.238 Na
```


Record 2
Below is an optimized crystal structure of NaLa2Sm3Se6, with properties calculated at the PBE level.

Computed properties:
Its space group is C2/m. The calculation puts the magnetization at 0.00 μB/cell. For the uncorrected formation energy, the calculation gives -1.85 eV per atom. The mass density comes out at 6.3 Mg/m³.

The structure in POSCAR format:
```
NaLa2Sm3Se6
1.0
4.214 0.000 0.000
0.000 8.507 0.264
-2.107 -2.493 8.913
Sm La Na Se
3 2 1 6
Cartesian
2.107 4.254 0.132 Sm
2.107 -0.191 6.011 Sm
0.000 6.206 3.167 Sm
0.000 2.022 3.065 La
2.107 3.993 6.113 La
2.107 0.000 0.000 Na
0.000 6.355 0.227 Se
0.000 6.214 6.178 Se
2.107 -0.199 3.000 Se
0.000 1.832 6.108 Se
2.107 -0.341 8.951 Se
2.107 4.182 3.070 Se
```


Record 3
Below is an optimized crystal structure of Na2LaSn3Se6, with properties calculated at the PBE level.

Computed properties:
Its space group is C2/m. The calculation puts the magnetization at 0.00 μB/cell. For the uncorrected formation energy, the calculation gives -0.92 eV per atom. The mass density comes out at 5.1 Mg/m³.

The structure in POSCAR format:
```
Na2LaSn3Se6
1.0
7.322 0.002 0.003
-3.658 6.343 0.003
-1.220 -2.112 7.148
Se Sn Na La
6 3 2 1
Cartesian
2.474 4.283 1.868 Se
-0.029 -0.050 5.287 Se
3.624 2.169 5.343 Se
0.068 4.223 5.343 Se
-1.179 2.064 1.812 Se
2.377 0.010 1.812 Se
-2.459 4.242 3.577 Sn
4.903 -0.010 3.577 Sn
1.222 2.116 3.577 Sn
3.667 2.112 0.003 Na
-0.003 4.232 0.003 Na
0.000 0.000 0.000 La
```


Record 4
Below is an optimized crystal structure of NaLaSn2Se4, with properties calculated at the PBE level.

Computed properties:
Its space group is P2/m. The calculation puts the magnetization at 0.00 μB/cell. For the uncorrected formation energy, the calculation gives -1.05 eV per atom. The mass density comes out at 5.2 Mg/m³.

The structure in POSCAR format:
```
NaLaSn2Se4
1.0
-0.598 -0.344 -4.268
5.365 -5.322 -0.322
-3.137 -6.563 0.969
Sn Se Na La
2 4 1 1
Cartesian
-1.868 -3.453 -1.650 Sn
-3.137 -6.563 0.969 Sn
1.694 -8.869 0.478 Se
2.904 -5.812 -2.128 Se
-1.275 -6.417 -1.494 Se
-0.064 -3.360 -4.100 Se
2.384 -2.833 -2.295 Na
1.114 -5.942 0.323 La
```


Record 5
Below is an optimized crystal structure of NaLa2SnSe4, with properties calculated at the PBE level.

Computed properties:
Its space group is P2/m. The calculation puts the magnetization at 0.00 μB/cell. For the uncorrected formation energy, the calculation gives -1.42 eV per atom. The mass density comes out at 5.3 Mg/m³.

The structure in POSCAR format:
```
NaLa2SnSe4
1.0
4.332 0.000 0.000
0.000 7.515 -0.167
0.000 2.612 6.970
Na Se Sn La
1 4 1 2
Cartesian
2.166 6.370 6.886 Na
2.166 3.844 5.181 Se
0.000 7.617 5.079 Se
4.332 2.511 1.724 Se
2.166 6.284 1.622 Se
0.000 5.064 3.401 Sn
2.166 1.306 3.485 La
0.000 2.613 6.970 La
```


Record 6
Below is an optimized crystal structure of NaSr2LaSe4, with properties calculated at the PBE level.

Computed properties:
Its space group is P2/m. The calculation puts the magnetization at 0.00 μB/cell. For the uncorrected formation energy, the calculation gives -1.89 eV per atom. The mass density comes out at 4.5 Mg/m³.

The structure in POSCAR format:
```
NaSr2LaSe4
1.0
4.421 0.000 0.000
0.000 7.556 0.182
0.000 -2.615 7.110
La Se Sr Na
1 4 2 1
Cartesian
0.000 0.000 0.000 La
0.000 -0.142 5.411 Se
2.210 3.728 5.544 Se
0.000 5.082 1.881 Se
2.210 1.212 1.748 Se
2.210 -1.308 3.555 Sr
0.000 2.470 3.646 Sr
2.210 3.778 0.091 Na
```


Record 7
Below is an optimized crystal structure of Na3La3TaSe8, with properties calculated at the PBE level.

Computed properties:
Its space group is R-3m. The calculation puts the magnetization at 1.00 μB/cell. For the uncorrected formation energy, the calculation gives -1.49 eV per atom. The mass density comes out at 4.9 Mg/m³.

The structure in POSCAR format:
```
Na3La3TaSe8
1.0
8.488 0.000 0.000
-4.244 7.350 -0.027
0.000 -4.877 7.083
Se Ta La Na
8 1 3 3
Cartesian
0.000 2.455 1.807 Se
0.000 -0.254 5.077 Se
1.887 -1.354 1.994 Se
6.601 -1.354 1.994 Se
4.244 0.018 5.250 Se
4.244 2.727 1.979 Se
2.357 3.827 5.062 Se
-2.357 3.827 5.062 Se
0.000 -2.438 3.542 Ta
4.244 -2.438 3.542 La
2.122 1.237 3.528 La
-2.122 1.237 3.528 La
-2.122 3.675 -0.013 Na
0.000 0.000 0.000 Na
2.122 3.675 -0.013 Na
```


Record 8
Below is an optimized crystal structure of NaLa2TaSe, with properties calculated at the PBE level.

Computed properties:
Its space group is P4/mmm. The calculation puts the magnetization at 0.00 μB/cell. For the uncorrected formation energy, the calculation gives 0.15 eV per atom. The mass density comes out at 5.6 Mg/m³.

The structure in POSCAR format:
```
NaLa2TaSe
1.0
-2.183 -3.325 4.151
4.260 0.520 2.656
-2.178 4.652 2.582
Se La Ta Na
1 2 1 1
Cartesian
2.130 0.260 1.328 Se
-1.091 -1.663 2.075 La
-1.089 2.326 1.291 La
0.000 0.000 0.000 Ta
-0.051 0.923 4.695 Na
```


Record 9
Below is an optimized crystal structure of NaLaTbSe3, with properties calculated at the PBE level.

Computed properties:
Its space group is P2_1/m. The calculation puts the magnetization at 0.00 μB/cell. For the uncorrected formation energy, the calculation gives -1.59 eV per atom. The mass density comes out at 5.8 Mg/m³.

The structure in POSCAR format:
```
NaLaTbSe3
1.0
4.186 0.000 0.000
0.000 8.458 0.404
0.000 -2.864 8.826
Se Tb La Na
6 2 2 2
Cartesian
1.047 2.348 7.560 Se
3.140 3.246 1.669 Se
1.047 -1.712 7.783 Se
3.140 0.753 4.473 Se
3.140 7.305 1.446 Se
1.047 4.840 4.756 Se
3.140 0.383 7.614 Tb
1.047 5.210 1.615 Tb
1.047 1.072 2.089 La
3.140 4.521 7.140 La
3.140 6.450 4.029 Na
1.047 -0.856 5.200 Na
```


Record 10
Below is an optimized crystal structure of Na3LaTb2Se6, with properties calculated at the PBE level.

Computed properties:
Its space group is C2/m. The calculation puts the magnetization at 0.00 μB/cell. For the uncorrected formation energy, the calculation gives -1.72 eV per atom. The mass density comes out at 5.1 Mg/m³.

The structure in POSCAR format:
```
Na3LaTb2Se6
1.0
-1.799 4.359 5.623
-4.103 -0.024 -6.084
-1.988 -6.553 2.844
Na Se Tb La
3 6 2 1
Cartesian
-4.716 -2.574 -2.722 Na
-3.175 0.356 5.106 Na
-3.945 -1.109 1.192 Na
-2.330 -1.193 -1.467 Se
-3.095 -3.872 2.059 Se
-1.538 0.313 2.557 Se
-4.795 1.654 0.325 Se
-6.353 -2.531 -0.174 Se
-5.561 -1.025 3.850 Se
-2.566 2.899 1.724 Tb
-3.336 1.436 -2.184 Tb
0.000 0.000 0.000 La
```


Record 11
Below is an optimized crystal structure of Na2La3TbSe6, with properties calculated at the PBE level.

Computed properties:
Its space group is C2/m. The calculation puts the magnetization at 0.00 μB/cell. For the uncorrected formation energy, the calculation gives -1.79 eV per atom. The mass density comes out at 5.5 Mg/m³.

The structure in POSCAR format:
```
Na2La3TbSe6
1.0
-2.479 2.225 6.627
-0.996 -7.027 -2.154
7.186 -0.132 1.353
Na Se La Tb
2 6 3 1
Cartesian
-1.492 -3.933 0.783 Na
-1.983 -0.870 3.690 Na
2.585 -2.229 5.842 Se
-0.861 -3.672 3.723 Se
1.125 -2.704 -0.016 Se
3.068 -5.240 2.984 Se
4.572 -1.262 2.102 Se
0.642 0.306 2.841 Se
1.367 0.581 5.805 La
2.344 -5.515 0.020 La
1.855 -2.467 2.913 La
0.000 0.000 0.000 Tb
```